#1
A plane-wave DFT calculation with PBE was carried out for crystalline Ho2TmTi at its relaxed geometry. Values from VASP.

```
&SYSTEM
  ibrav = 0, nat = 4, ntyp = 3
/
ATOMIC_SPECIES
Tm 168.93 Tm.upf
Ti 47.87 Ti.upf
Ho 164.93 Ho.upf
CELL_PARAMETERS angstrom
3.332 0.000 0.000
1.666 2.885 0.000
1.666 0.962 11.595
ATOMIC_POSITIONS angstrom
Tm 3.332 1.924 5.797
Ti 0.000 0.000 0.000
Ho 4.998 2.885 2.940
Ho 1.666 0.962 8.655
```

Computed properties:
ρ = 8.14 g/cm³

***

#2
A plane-wave DFT calculation with PBE was carried out for crystalline Ho2TmTi at its relaxed geometry. Values from VASP.

```
&SYSTEM
  ibrav = 0, nat = 4, ntyp = 3
/
ATOMIC_SPECIES
Ti 47.87 Ti.upf
Tm 168.93 Tm.upf
Ho 164.93 Ho.upf
CELL_PARAMETERS angstrom
-4.649 0.591 -0.699
-0.898 -3.734 2.819
-0.199 2.898 3.775
ATOMIC_POSITIONS angstrom
Ti -2.324 0.295 -0.349
Tm -2.873 -0.122 2.948
Ho -0.449 -1.867 1.409
Ho -0.099 1.449 1.888
```

Computed properties:
ρ = 8.44 g/cm³

***

The structure with the least stability is #1.

***

#1
A plane-wave DFT calculation with PBE was carried out for crystalline Ho2TmTi at its relaxed geometry. Values from VASP.

```
&SYSTEM
  ibrav = 0, nat = 4, ntyp = 3
/
ATOMIC_SPECIES
Tm 168.93 Tm.upf
Ho 164.93 Ho.upf
Ti 47.87 Ti.upf
CELL_PARAMETERS angstrom
-1.930 -2.288 -1.599
1.442 -2.669 -1.520
-1.018 -7.325 8.108
ATOMIC_POSITIONS angstrom
Tm -0.753 -6.141 2.493
Ho -0.822 -6.027 6.014
Ho -0.358 -2.947 1.049
Ti -0.326 -3.309 -2.073
```

Computed properties:
ρ = 8.43 g/cm³

***

#2
A plane-wave DFT calculation with PBE was carried out for crystalline Ho2TmTi at its relaxed geometry. Values from VASP.

```
&SYSTEM
  ibrav = 0, nat = 4, ntyp = 3
/
ATOMIC_SPECIES
Ho 164.93 Ho.upf
Ti 47.87 Ti.upf
Tm 168.93 Tm.upf
CELL_PARAMETERS angstrom
-0.762 -2.152 -2.500
-0.734 -2.391 2.282
-8.910 2.924 0.199
ATOMIC_POSITIONS angstrom
Ho -6.933 2.276 0.155
Ho -1.977 0.649 0.044
Ti -0.748 -2.272 -0.109
Tm -5.203 -0.809 -0.010
```

Computed properties:
ρ = 8.44 g/cm³

***

The structure with the least stability is #1.

***

#1
A plane-wave DFT calculation with PBE was carried out for crystalline HoTm2Ti at its relaxed geometry. Values from VASP.

```
&SYSTEM
  ibrav = 0, nat = 4, ntyp = 3
/
ATOMIC_SPECIES
Tm 168.93 Tm.upf
Ho 164.93 Ho.upf
Ti 47.87 Ti.upf
CELL_PARAMETERS angstrom
4.753 0.000 0.000
0.000 4.739 0.000
0.000 0.000 4.739
ATOMIC_POSITIONS angstrom
Tm 0.000 2.370 0.000
Tm 0.000 0.000 2.370
Ho 2.376 2.370 2.370
Ti 2.376 0.000 0.000
```

Computed properties:
ρ = 8.57 g/cm³

***

#2
A plane-wave DFT calculation with PBE was carried out for crystalline HoTm2Ti at its relaxed geometry. Values from VASP.

```
&SYSTEM
  ibrav = 0, nat = 4, ntyp = 3
/
ATOMIC_SPECIES
Ho 164.93 Ho.upf
Ti 47.87 Ti.upf
Tm 168.93 Tm.upf
CELL_PARAMETERS angstrom
-0.379 -1.664 2.889
2.793 -1.747 -0.640
5.135 6.576 4.460
ATOMIC_POSITIONS angstrom
Ho 3.774 1.583 3.355
Ti 1.207 -1.705 1.125
Tm 4.007 5.131 3.480
Tm 1.128 1.445 0.980
```

Computed properties:
ρ = 8.58 g/cm³

***

#3
A plane-wave DFT calculation with PBE was carried out for crystalline HoTm2Ti at its relaxed geometry. Values from VASP.

```
&SYSTEM
  ibrav = 0, nat = 4, ntyp = 3
/
ATOMIC_SPECIES
Tm 168.93 Tm.upf
Ho 164.93 Ho.upf
Ti 47.87 Ti.upf
CELL_PARAMETERS angstrom
-1.403 2.832 -1.207
-0.281 0.458 -3.340
-10.239 -3.624 -1.349
ATOMIC_POSITIONS angstrom
Tm -2.761 0.024 -1.478
Tm -8.036 -2.549 -1.387
Ho -5.954 -0.163 -2.948
Ti -1.133 2.188 -3.031
```

Computed properties:
ρ = 8.57 g/cm³

***

The structure with the least stability is #1.

***

#1
A plane-wave DFT calculation with PBE was carried out for crystalline HoTmTi at its relaxed geometry. Values from VASP.

```
&SYSTEM
  ibrav = 0, nat = 6, ntyp = 3
/
ATOMIC_SPECIES
Ho 164.93 Ho.upf
Tm 168.93 Tm.upf
Ti 47.87 Ti.upf
CELL_PARAMETERS angstrom
3.686 0.000 0.000
0.000 3.444 0.000
0.000 1.722 12.743
ATOMIC_POSITIONS angstrom
Ho 0.921 1.722 1.477
Ho 2.764 3.444 11.266
Tm 2.764 3.444 7.659
Tm 0.921 1.722 5.084
Ti 0.921 1.722 9.443
Ti 2.764 3.444 3.300
```

Computed properties:
ρ = 7.84 g/cm³

***

#2
A plane-wave DFT calculation with PBE was carried out for crystalline HoTmTi at its relaxed geometry. Values from VASP.

```
&SYSTEM
  ibrav = 0, nat = 3, ntyp = 3
/
ATOMIC_SPECIES
Ti 47.87 Ti.upf
Ho 164.93 Ho.upf
Tm 168.93 Tm.upf
CELL_PARAMETERS angstrom
3.275 0.000 0.000
0.000 5.216 0.000
0.000 -2.608 4.517
ATOMIC_POSITIONS angstrom
Ti 0.545 0.000 3.012
Ho 2.183 2.608 1.506
Tm 0.546 0.000 0.000
```

Computed properties:
ρ = 8.21 g/cm³

***

The structure with the least stability is #1.

***

#1
A plane-wave DFT calculation with PBE was carried out for crystalline HoTiZn2 at its relaxed geometry. Values from VASP.

```
&SYSTEM
  ibrav = 0, nat = 4, ntyp = 3
/
ATOMIC_SPECIES
Ti 47.87 Ti.upf
Zn 65.41 Zn.upf
Ho 164.93 Ho.upf
CELL_PARAMETERS angstrom
-1.357 -2.352 -1.944
2.138 0.785 -2.442
4.380 -4.499 2.387
ATOMIC_POSITIONS angstrom
Ti 0.390 -0.783 -2.193
Zn 3.460 -3.555 1.885
Zn 0.920 -0.945 0.501
Ho 2.580 -3.033 -1.000
```

Computed properties:
ρ = 7.62 g/cm³

***

#2
A plane-wave DFT calculation with PBE was carried out for crystalline HoTiZn2 at its relaxed geometry. Values from VASP.

```
&SYSTEM
  ibrav = 0, nat = 4, ntyp = 3
/
ATOMIC_SPECIES
Zn 65.41 Zn.upf
Ho 164.93 Ho.upf
Ti 47.87 Ti.upf
CELL_PARAMETERS angstrom
-4.093 -0.445 2.376
-1.056 -4.096 2.170
0.022 -0.250 4.747
ATOMIC_POSITIONS angstrom
Zn -1.282 -1.198 2.323
Zn -3.845 -3.594 6.970
Ho 0.000 0.000 0.000
Ti -2.563 -2.396 4.647
```

Computed properties:
ρ = 7.51 g/cm³

***

The structure with the least stability is #2.

***

#1
A plane-wave DFT calculation with PBE was carried out for crystalline Ho2TiZn at its relaxed geometry. Values from VASP.

```
&SYSTEM
  ibrav = 0, nat = 4, ntyp = 3
/
ATOMIC_SPECIES
Zn 65.41 Zn.upf
Ho 164.93 Ho.upf
Ti 47.87 Ti.upf
CELL_PARAMETERS angstrom
-2.325 2.060 -1.558
-3.732 -1.915 3.036
0.941 3.705 3.494
ATOMIC_POSITIONS angstrom
Zn -1.162 1.030 -0.779
Ho -1.866 -0.958 1.518
Ho 0.471 1.852 1.747
Ti -2.558 1.925 2.486
```

Computed properties:
ρ = 7.90 g/cm³

***

#2
A plane-wave DFT calculation with PBE was carried out for crystalline Ho2TiZn at its relaxed geometry. Values from VASP.

```
&SYSTEM
  ibrav = 0, nat = 4, ntyp = 3
/
ATOMIC_SPECIES
Zn 65.41 Zn.upf
Ho 164.93 Ho.upf
Ti 47.87 Ti.upf
CELL_PARAMETERS angstrom
3.353 0.000 0.000
0.000 3.353 0.000
0.000 0.000 8.228
ATOMIC_POSITIONS angstrom
Zn 1.676 1.676 0.000
Ho 0.000 0.000 1.991
Ho 0.000 0.000 6.237
Ti 1.676 1.676 4.114
```

Computed properties:
ρ = 7.96 g/cm³

***

The structure with the least stability is #1.